# 1
Material: Tl2CdIn
Method: DFT, PBEsol
State: relaxed

E_form = 0.05 eV/atom
N(E_F) = 1.73 states/eV/f.u.

a b c (Å): 3.7021 3.7021 7.5582
angles (deg): 90.00 90.00 90.00
Fractional coordinates of all 4 atoms:
Tl1 0.0000 0.0000 0.7581
Tl2 0.0000 0.0000 0.2419
In1 0.5000 0.5000 0.5000
Cd1 0.5000 0.5000 0.0000

---

# 2
Material: Tl2CdIn
Method: DFT, PBEsol
State: relaxed

E_form = 0.06 eV/atom
N(E_F) = 1.58 states/eV/f.u.

a b c (Å): 5.2732 5.2732 5.2732
angles (deg): 60.00 60.00 60.00
Fractional coordinates of all 4 atoms:
Tl1 0.0000 0.0000 0.0000
Tl2 0.2500 0.2500 0.2500
In1 0.7500 0.7500 0.7500
Cd1 0.5000 0.5000 0.5000

---

# 3
Material: TlCd2In
Method: DFT, PBEsol
State: relaxed

E_form = 0.06 eV/atom
N(E_F) = 1.60 states/eV/f.u.

a b c (Å): 3.3585 5.4502 5.4502
angles (deg): 106.49 89.87 89.87
Fractional coordinates of all 4 atoms:
Tl1 0.5000 0.0000 0.0000
In1 0.5000 0.5000 0.5000
Cd1 0.0000 0.0000 0.5000
Cd2 0.0000 0.5000 0.0000

---

# 4
Material: TlCdIn2
Method: DFT, PBEsol
State: relaxed

E_form = 0.04 eV/atom
N(E_F) = 1.94 states/eV/f.u.

a b c (Å): 3.4285 5.3908 6.3313
angles (deg): 115.20 105.71 90.00
Fractional coordinates of all 4 atoms:
Tl1 0.5000 0.0000 0.0000
In1 0.7371 0.7371 0.4742
In2 0.2629 0.2629 0.5258
Cd1 0.0000 0.5000 0.0000

---

# 5
Material: Tl2Cd2In
Method: DFT, PBEsol
State: relaxed

E_form = 0.08 eV/atom
N(E_F) = 1.87 states/eV/f.u.

a b c (Å): 4.3255 7.7140 7.7140
angles (deg): 90.00 90.00 90.00
Fractional coordinates of all 10 atoms:
Tl1 0.5000 0.1698 0.6698
Tl2 0.5000 0.6698 0.8302
Tl3 0.5000 0.8302 0.3302
Tl4 0.5000 0.3302 0.1698
Cd1 0.0000 0.3675 0.8675
Cd2 0.0000 0.8675 0.6325
Cd3 0.0000 0.6325 0.1325
Cd4 0.0000 0.1325 0.3675
In1 0.0000 0.0000 0.0000
In2 0.0000 0.5000 0.5000

---

# 6
Material: Tl2CdIn
Method: DFT, PBEsol
State: relaxed

E_form = 0.05 eV/atom
N(E_F) = 1.85 states/eV/f.u.

a b c (Å): 3.4725 5.4331 6.1320
angles (deg): 110.05 106.45 90.00
Fractional coordinates of all 4 atoms:
Tl1 0.9935 0.9761 0.9870
Tl2 0.7626 0.2802 0.5251
In1 0.2360 0.7601 0.4720
Cd1 0.5079 0.4836 0.0158

---

# 7
Material: Tl2CdIn
Method: DFT, PBEsol
State: relaxed

E_form = 0.04 eV/atom
N(E_F) = 1.93 states/eV/f.u.

a b c (Å): 3.2765 4.5047 6.9653
angles (deg): 90.00 90.00 90.00
Fractional coordinates of all 4 atoms:
Tl1 0.0000 0.0000 0.9945
Tl2 0.5000 0.5000 0.2621
In1 0.5000 0.5000 0.7338
Cd1 0.0000 0.0000 0.5097

---

# 8
Material: TlCd2In
Method: DFT, PBEsol
State: relaxed

E_form = 0.05 eV/atom
N(E_F) = 1.53 states/eV/f.u.

a b c (Å): 3.1978 3.1978 10.9490
angles (deg): 81.60 81.60 60.00
Fractional coordinates of all 4 atoms:
Tl1 0.0000 0.0000 0.0000
In1 0.5000 0.5000 0.5000
Cd1 0.2479 0.2479 0.2562
Cd2 0.7521 0.7521 0.7438

---

# 9
Material: TlCdIn2
Method: DFT, PBEsol
State: relaxed

E_form = 0.02 eV/atom
N(E_F) = 1.77 states/eV/f.u.

a b c (Å): 3.3367 3.3367 8.9536
angles (deg): 90.00 90.00 90.00
Fractional coordinates of all 4 atoms:
Tl1 0.5000 0.5000 0.0000
In1 0.0000 0.0000 0.7312
In2 0.0000 0.0000 0.2688
Cd1 0.5000 0.5000 0.5000

---

# 10
Material: Tl2CdIn
Method: DFT, PBEsol
State: relaxed

E_form = 0.05 eV/atom
N(E_F) = 1.95 states/eV/f.u.

a b c (Å): 4.5884 4.5884 5.8579
angles (deg): 113.06 113.06 90.00
Fractional coordinates of all 4 atoms:
Tl1 0.0000 0.0000 0.0000
Tl2 0.7500 0.2500 0.5000
In1 0.2500 0.7500 0.5000
Cd1 0.5000 0.5000 0.0000

---

# 11
Material: TlCd2In
Method: DFT, PBEsol
State: relaxed

E_form = 0.07 eV/atom
N(E_F) = 1.75 states/eV/f.u.

a b c (Å): 3.1559 5.5331 6.4281
angles (deg): 115.49 104.21 90.00
Fractional coordinates of all 4 atoms:
Tl1 0.0000 0.5000 0.0000
In1 0.5000 0.0000 0.0000
Cd1 0.7556 0.7556 0.5112
Cd2 0.2444 0.2444 0.4888

---

# 12
Material: TlCdIn2
Method: DFT, PBEsol
State: relaxed

E_form = 0.03 eV/atom
N(E_F) = 1.60 states/eV/f.u.

a b c (Å): 3.2771 3.2771 10.8960
angles (deg): 81.35 81.35 60.00
Fractional coordinates of all 4 atoms:
Tl1 0.5024 0.5024 0.4928
In1 0.9975 0.9975 0.0074
In2 0.7480 0.7480 0.7559
Cd1 0.2520 0.2520 0.2439

---

# 13
Material: TlCd2In
Method: DFT, PBEsol
State: relaxed

E_form = 0.05 eV/atom
N(E_F) = 1.90 states/eV/f.u.

a b c (Å): 3.3907 4.7359 6.2769
angles (deg): 90.00 105.62 90.00
Fractional coordinates of all 4 atoms:
Tl1 0.2091 0.5000 0.7870
In1 0.5382 0.0000 0.4572
Cd1 0.8080 0.0000 0.9824
Cd2 0.9448 0.5000 0.2735

---

# 14
Material: Tl2CdIn
Method: DFT, PBEsol
State: relaxed

E_form = 0.05 eV/atom
N(E_F) = 1.76 states/eV/f.u.

a b c (Å): 4.6754 4.6754 5.7460
angles (deg): 114.01 114.01 90.00
Fractional coordinates of all 4 atoms:
Tl1 0.7500 0.2500 0.5000
Tl2 0.2500 0.7500 0.5000
In1 0.0000 0.0000 0.0000
Cd1 0.5000 0.5000 0.0000

---

# 15
Material: Tl2CdIn
Method: DFT, PBEsol
State: relaxed

E_form = 0.06 eV/atom
N(E_F) = 1.97 states/eV/f.u.

a b c (Å): 3.1979 3.1979 10.8969
angles (deg): 90.00 90.00 111.13
Fractional coordinates of all 4 atoms:
Tl1 0.0000 0.0000 0.2577
Tl2 0.0000 0.0000 0.7423
In1 0.5000 0.5000 0.0000
Cd1 0.5000 0.5000 0.5000